# 1
## PmTl4I7 (PBE)

Data for a relaxed structure of PmTl4I7.

a b c (Å): 23.073 6.018 8.496
angles (deg): 90.00 106.92 90.00
Space group C2/m (No. 12)
Inequivalent atoms, fractional coordinates:
Pm: 0.000 0.000 0.000 (multiplicity 2)
Tl: 0.083 0.500 0.646 (multiplicity 4)
Tl: 0.191 0.500 0.267 (multiplicity 4)
I: 0.000 0.500 0.000 (multiplicity 2)
I: 0.080 0.000 0.363 (multiplicity 4)
I: 0.117 0.000 0.890 (multiplicity 4)
I: 0.226 0.500 0.676 (multiplicity 4)

Properties
VASP energy, eV per cell: -70.73
Raw formation energy, meV/atom: -858

---

# 2
## Sr2LiMnFe (PBE)

Data for a relaxed structure of Sr2LiMnFe.

a b c (Å): 5.985 5.985 4.239
angles (deg): 90.00 90.00 90.00
Space group P4/mmm (No. 123)
Inequivalent atoms, fractional coordinates:
Sr: 0.000 0.500 0.000 (multiplicity 2)
Li: 0.000 0.000 0.500 (multiplicity 1)
Mn: 0.500 0.500 0.000 (multiplicity 1)
Fe: 0.500 0.500 0.500 (multiplicity 1)

Properties
VASP energy, eV per cell: -19.76
Formation enthalpy at 0 K, eV per atom: 0.631

---

# 3
## SrLa4Ni (PBE)

Data for a relaxed structure of SrLa4Ni.

a b c (Å): 9.406 9.406 9.406
angles (deg): 90.00 90.00 90.00
Space group F-43m (No. 216)
Inequivalent atoms, fractional coordinates:
Sr: 0.000 0.000 0.000 (multiplicity 4)
La: 0.121 0.121 0.621 (multiplicity 16)
Ni: 0.250 0.250 0.250 (multiplicity 4)

Properties
VASP energy, eV per cell: -94.73
Formation enthalpy at 0 K, eV per atom: 0.582

---

# 4
## MgSiIr2 (PBE)

Data for a relaxed structure of MgSiIr2.

a b c (Å): 2.913 4.807 8.743
angles (deg): 90.00 90.00 90.00
Space group Cmm2 (No. 35)
Inequivalent atoms, fractional coordinates:
Mg: 0.000 0.000 0.000 (multiplicity 2)
Si: 0.000 0.500 0.268 (multiplicity 2)
Ir: 0.000 0.000 0.482 (multiplicity 2)
Ir: 0.000 0.500 0.754 (multiplicity 2)

Properties
VASP energy, eV per cell: -48.93
Raw formation energy, meV/atom: 69

---

# 5
## Pr8Sm6Pb (PBE)

Data for a relaxed structure of Pr8Sm6Pb.

a b c (Å): 9.4724 9.4724 6.7520
angles (deg): 90.00 90.00 120.00
Space group P-3 (No. 147)
Inequivalent atoms, fractional coordinates:
Pr: 0.0404 0.7684 0.1767 (multiplicity 6)
Pr: 0.3333 0.6667 0.1266 (multiplicity 2)
Sm: 0.0944 0.6506 0.6621 (multiplicity 6)
Pb: 0.0000 0.0000 0.5000 (multiplicity 1)

Properties
VASP energy, eV per cell: -69.51
Formation enthalpy at 0 K, eV per atom: 0.050

---

# 6
## RbIrRu (PBE)

Data for a relaxed structure of RbIrRu.

a b c (Å): 8.056 11.322 8.069
angles (deg): 90.00 90.00 90.00
Space group Fmm2 (No. 42)
Inequivalent atoms, fractional coordinates:
Rb: 0.000 0.201 0.000 (multiplicity 8)
Ir: 0.149 0.000 0.354 (multiplicity 8)
Ru: 0.143 0.000 0.647 (multiplicity 8)

Properties
E above lowest polymorph, eV per atom: 0.296
VASP energy, eV per cell: -133.73
Formation enthalpy at 0 K, eV per atom: 0.796